1.
This record from Alexandria via LeMat-Bulk describes a geometry-optimized PmAlGa2Au4 structure. The functional is PBE.

## Properties
Calculated density ... 11.72 g/cm³
Total magnetic moment ... 0.00 μB per cell
Final energy ... -94.603 eV for the cell shown
Formation energy ... -374 kJ/mol of formula units

abc: 4.4944 4.4944 26.7181
angles: 90.00 90.00 120.00
Space group R-3m (No. 166, hexagonal axes)
Symmetry-distinct sites (fractional):
1 Pm 0.0000 0.0000 0.0000 [3 per cell]
2 Al 0.0000 0.0000 0.5000 [3 per cell]
3 Ga 0.0000 0.0000 0.2558 [6 per cell]
4 Au 0.0000 0.0000 0.1371 [6 per cell]
5 Au 0.0000 0.0000 0.3999 [6 per cell]

2.
This record from Alexandria via LeMat-Bulk describes a geometry-optimized Pm2AlGa4Au3 structure. The functional is PBE.

## Properties
Calculated density ... 9.69 g/cm³
Total magnetic moment ... 0.00 μB per cell
Final energy ... -41.542 eV for the cell shown
Formation energy ... -614 kJ/mol of formula units

abc: 4.284 4.284 11.078
angles: 90.00 90.00 90.00
Space group P-4m2 (No. 115)
Symmetry-distinct sites (fractional):
1 Pm 0.000 0.500 0.248 [2 per cell]
2 Al 0.500 0.500 0.000 [1 per cell]
3 Ga 0.000 0.000 0.500 [1 per cell]
4 Ga 0.000 0.500 0.861 [2 per cell]
5 Ga 0.500 0.500 0.500 [1 per cell]
6 Au 0.000 0.000 0.000 [1 per cell]
7 Au 0.000 0.500 0.635 [2 per cell]

3.
This record from Alexandria via LeMat-Bulk describes a geometry-optimized Pm2Al3Ga4Au structure. The functional is PBE.

## Properties
Calculated density ... 7.03 g/cm³
Total magnetic moment ... 0.00 μB per cell
Final energy ... -40.854 eV for the cell shown
Formation energy ... -457 kJ/mol of formula units

abc: 4.311 4.311 10.768
angles: 90.00 90.00 90.00
Space group P-4m2 (No. 115)
Symmetry-distinct sites (fractional):
1 Pm 0.000 0.500 0.248 [2 per cell]
2 Al 0.000 0.500 0.867 [2 per cell]
3 Al 0.500 0.500 0.500 [1 per cell]
4 Ga 0.000 0.000 0.000 [1 per cell]
5 Ga 0.000 0.500 0.640 [2 per cell]
6 Ga 0.500 0.500 0.000 [1 per cell]
7 Au 0.000 0.000 0.500 [1 per cell]

4.
This record from Alexandria via LeMat-Bulk describes a geometry-optimized Pr2AlGaAu6 structure. The functional is PBE.

## Properties
Calculated density ... 11.54 g/cm³
Total magnetic moment ... 0.00 μB per cell
Final energy ... -41.182 eV for the cell shown
Formation energy ... -501 kJ/mol of formula units

abc: 6.762 6.781 6.817
angles: 60.65 60.76 60.62
Space group P-1 (No. 2)
Symmetry-distinct sites (fractional):
1 Pr 0.200 0.201 0.202 [2 per cell]
2 Al 0.500 0.500 0.500 [1 per cell]
3 Ga 0.000 0.000 0.000 [1 per cell]
4 Au 0.157 0.346 0.664 [2 per cell]
5 Au 0.333 0.845 0.653 [2 per cell]
6 Au 0.348 0.662 0.155 [2 per cell]

5.
This record from Alexandria via LeMat-Bulk describes a geometry-optimized PrAlGaAu structure. The functional is PBE.

## Properties
Calculated density ... 8.35 g/cm³
Total magnetic moment ... 0.00 μB per cell
Final energy ... -67.117 eV for the cell shown
Formation energy ... -188 kJ/mol of formula units

abc: 7.017 7.017 7.017
angles: 90.00 90.00 90.00
Space group F-43m (No. 216)
Symmetry-distinct sites (fractional):
1 Pr 0.000 0.000 0.000 [4 per cell]
2 Al 0.000 0.000 0.500 [4 per cell]
3 Ga 0.250 0.250 0.250 [4 per cell]
4 Au 0.250 0.250 0.750 [4 per cell]

6.
This record from Alexandria via LeMat-Bulk describes a geometry-optimized PrAlGa2Au structure. The functional is PBE.

## Properties
Calculated density ... 8.33 g/cm³
Total magnetic moment ... 0.00 μB per cell
Final energy ... -41.959 eV for the cell shown
Formation energy ... -302 kJ/mol of formula units

abc: 4.246 4.246 11.149
angles: 90.00 90.00 90.00
Space group I-4m2 (No. 119)
Symmetry-distinct sites (fractional):
1 Pr 0.000 0.000 0.000 [2 per cell]
2 Al 0.000 0.500 0.250 [2 per cell]
3 Ga 0.000 0.000 0.389 [4 per cell]
4 Au 0.000 0.500 0.750 [2 per cell]

7.
This record from Alexandria via LeMat-Bulk describes a geometry-optimized Pr2Al4Ga3Au structure. The functional is PBE.

## Properties
Calculated density ... 6.50 g/cm³
Total magnetic moment ... 0.00 μB per cell
Final energy ... -42.062 eV for the cell shown
Formation energy ... -499 kJ/mol of formula units

abc: 4.344 4.344 10.768
angles: 90.00 90.00 90.00
Space group P-4m2 (No. 115)
Symmetry-distinct sites (fractional):
1 Pr 0.000 0.500 0.248 [2 per cell]
2 Al 0.000 0.000 0.500 [1 per cell]
3 Al 0.000 0.500 0.870 [2 per cell]
4 Al 0.500 0.500 0.500 [1 per cell]
5 Ga 0.000 0.000 0.000 [1 per cell]
6 Ga 0.000 0.500 0.637 [2 per cell]
7 Au 0.500 0.500 0.000 [1 per cell]

8.
This record from Alexandria via LeMat-Bulk describes a geometry-optimized PrAlGa2Au4 structure. The functional is PBE.

## Properties
Calculated density ... 11.50 g/cm³
Total magnetic moment ... 0.00 μB per cell
Final energy ... -94.690 eV for the cell shown
Formation energy ... -374 kJ/mol of formula units

abc: 4.5052 4.5052 27.0009
angles: 90.00 90.00 120.00
Space group R-3m (No. 166, hexagonal axes)
Symmetry-distinct sites (fractional):
1 Pr 0.0000 0.0000 0.0000 [3 per cell]
2 Al 0.0000 0.0000 0.5000 [3 per cell]
3 Ga 0.0000 0.0000 0.2548 [6 per cell]
4 Au 0.0000 0.0000 0.1380 [6 per cell]
5 Au 0.0000 0.0000 0.4016 [6 per cell]

9.
This record from Alexandria via LeMat-Bulk describes a geometry-optimized PrAl2GaAu structure. The functional is PBE.

## Properties
Calculated density ... 7.58 g/cm³
Total magnetic moment ... 0.00 μB per cell
Final energy ... -43.242 eV for the cell shown
Formation energy ... -294 kJ/mol of formula units

abc: 4.224 4.283 11.181
angles: 90.00 90.00 90.00
Space group Imm2 (No. 44)
Symmetry-distinct sites (fractional):
1 Pr 0.000 0.000 0.000 [2 per cell]
2 Al 0.000 0.000 0.385 [2 per cell]
3 Al 0.000 0.500 0.246 [2 per cell]
4 Ga 0.000 0.000 0.608 [2 per cell]
5 Au 0.000 0.500 0.752 [2 per cell]

10.
This record from Alexandria via LeMat-Bulk describes a geometry-optimized Pr2Al4GaAu3 structure. The functional is PBE.

## Properties
Calculated density ... 8.46 g/cm³
Total magnetic moment ... 0.00 μB per cell
Final energy ... -44.498 eV for the cell shown
Formation energy ... -686 kJ/mol of formula units

abc: 4.421 4.421 10.545
angles: 90.00 90.00 90.00
Space group P-4m2 (No. 115)
Symmetry-distinct sites (fractional):
1 Pr 0.000 0.500 0.247 [2 per cell]
2 Al 0.000 0.000 0.500 [1 per cell]
3 Al 0.000 0.500 0.866 [2 per cell]
4 Al 0.500 0.500 0.500 [1 per cell]
5 Ga 0.500 0.500 0.000 [1 per cell]
6 Au 0.000 0.000 0.000 [1 per cell]
7 Au 0.000 0.500 0.628 [2 per cell]

11.
This record from Alexandria via LeMat-Bulk describes a geometry-optimized Pr2AlGa6Au structure. The functional is PBE.

## Properties
Calculated density ... 6.94 g/cm³
Total magnetic moment ... 0.00 μB per cell
Final energy ... -225.863 eV for the cell shown
Formation energy ... -280 kJ/mol of formula units

abc: 6.4848 6.4848 36.4526
angles: 90.00 90.00 120.00
Space group R-3m (No. 166, hexagonal axes)
Symmetry-distinct sites (fractional):
1 Pr 0.0000 0.0000 0.1115 [6 per cell]
2 Pr 0.0000 0.0000 0.2962 [6 per cell]
3 Al 0.0000 0.0000 0.0000 [3 per cell]
4 Al 0.0000 0.0000 0.5000 [3 per cell]
5 Ga 0.0449 0.5224 0.2930 [18 per cell]
6 Ga 0.0770 0.5385 0.8707 [18 per cell]
7 Au 0.0000 0.0000 0.4308 [6 per cell]

12.
This record from Alexandria via LeMat-Bulk describes a geometry-optimized AlGaPtAu2 structure. The functional is PBE.

## Properties
Calculated density ... 10.36 g/cm³
Total magnetic moment ... 0.00 μB per cell
Final energy ... -17.211 eV for the cell shown
Formation energy ... 208 kJ/mol of formula units

abc: 4.818 4.818 4.736
angles: 90.00 90.00 90.00
Space group P4/mmm (No. 123)
Symmetry-distinct sites (fractional):
1 Al 0.000 0.000 0.000 [1 per cell]
2 Ga 0.500 0.500 0.500 [1 per cell]
3 Pt 0.500 0.500 0.000 [1 per cell]
4 Au 0.000 0.500 0.500 [2 per cell]

What did the eighth record say?
This record from Alexandria via LeMat-Bulk describes a geometry-optimized PrAlGa2Au4 structure. The functional is PBE.

## Properties
Calculated density ... 11.50 g/cm³
Total magnetic moment ... 0.00 μB per cell
Final energy ... -94.690 eV for the cell shown
Formation energy ... -374 kJ/mol of formula units

abc: 4.5052 4.5052 27.0009
angles: 90.00 90.00 120.00
Space group R-3m (No. 166, hexagonal axes)
Symmetry-distinct sites (fractional):
1 Pr 0.0000 0.0000 0.0000 [3 per cell]
2 Al 0.0000 0.0000 0.5000 [3 per cell]
3 Ga 0.0000 0.0000 0.2548 [6 per cell]
4 Au 0.0000 0.0000 0.1380 [6 per cell]
5 Au 0.0000 0.0000 0.4016 [6 per cell]

- Number 8 is which compound?
  PrAlGa2Au4

- The highest formation energy belongs to which entry?
  AlGaPtAu2